# Mo2OsBr, relaxed, DFT PBE
data_Mo2OsBr
_cell_length_a 5.721
_cell_length_b 5.721
_cell_length_c 11.273
_cell_angle_alpha 90.00
_cell_angle_beta 90.00
_cell_angle_gamma 90.00
_symmetry_space_group_name_H-M 'I -4 2 d'
_symmetry_Int_Tables_number 122
_symmetry_space_group_name_Hall 'I -4 2bw'
loop_
_atom_site_label
_atom_site_fract_x
_atom_site_fract_y
_atom_site_fract_z
_atom_site_occupancy
Mo1 0.234 0.250 0.125 1
Os1 0.000 0.000 0.000 1
Br1 0.000 0.000 0.500 1
# Formation energy (no corrections), meV per atom: 1153
# Crystal system: tetragonal
# Magnetization, μB per formula unit: 0.00
# Volume, A^3/atom: 23.064

# CsTcSeBr2, relaxed, DFT PBE
data_CsTcSeBr2
_cell_length_a 5.562
_cell_length_b 5.562
_cell_length_c 4.775
_cell_angle_alpha 90.00
_cell_angle_beta 90.00
_cell_angle_gamma 90.00
_symmetry_space_group_name_H-M 'P 4/m m m'
_symmetry_Int_Tables_number 123
_symmetry_space_group_name_Hall '-P 4 2'
loop_
_atom_site_label
_atom_site_fract_x
_atom_site_fract_y
_atom_site_fract_z
_atom_site_occupancy
Cs1 0.000 0.000 0.000 1
Tc1 0.500 0.500 0.500 1
Se1 0.500 0.500 0.000 1
Br1 0.000 0.500 0.500 1
# Formation energy (no corrections), meV per atom: -545
# Crystal system: tetragonal
# Magnetization, μB per formula unit: 1.34
# Volume, A^3/atom: 29.545